Record 1
A relaxed ZnSnHgS3 crystal. Source: the Open Quantum Materials Database, functional PBE-GGA.

```
data_ZnSnHgS3
_chemical_formula_sum 'Zn4 Sn4 Hg4 S12'
_space_group_name_H-M_alt 'C m c m'
_space_group_IT_number 63
_space_group_name_Hall '-C 2c 2'
_cell_length_a 3.852
_cell_length_b 12.792
_cell_length_c 11.351
_cell_angle_alpha 90.00
_cell_angle_beta 90.00
_cell_angle_gamma 90.00
loop_
_atom_site_label
_atom_site_type_symbol
_atom_site_fract_x
_atom_site_fract_y
_atom_site_fract_z
_atom_site_occupancy
Zn1 Zn 0.000 0.008 0.250 1
Sn1 Sn 0.000 0.273 0.750 1
Hg1 Hg 0.000 0.500 0.000 1
S1 S 0.000 0.126 0.089 1
S2 S 0.000 0.399 0.250 1
```

Calculated values
- distance to the lowest polymorph of the same formula (eV/atom) = 0.0171
- crystal system = orthorhombic
- calculated density (g cm⁻³) = 5.710



Record 2
A relaxed BaErPu crystal. Source: the Open Quantum Materials Database, functional PBE-GGA.

```
data_BaErPu
_chemical_formula_sum 'Ba4 Er4 Pu4'
_space_group_name_H-M_alt 'F -4 3 m'
_space_group_IT_number 216
_space_group_name_Hall 'F -4 2 3'
_cell_length_a 8.086
_cell_length_b 8.086
_cell_length_c 8.086
_cell_angle_alpha 90.00
_cell_angle_beta 90.00
_cell_angle_gamma 90.00
loop_
_atom_site_label
_atom_site_type_symbol
_atom_site_fract_x
_atom_site_fract_y
_atom_site_fract_z
_atom_site_occupancy
Ba1 Ba 0.000 0.000 0.000 1
Er1 Er 0.000 0.000 0.500 1
Pu1 Pu 0.250 0.250 0.250 1
```

Calculated values
- distance to the lowest polymorph of the same formula (eV/atom) = 0.0000
- M_tot (μB per formula unit) = 7.59
- crystal system = cubic
- calculated density (g cm⁻³) = 6.891



Record 3
A relaxed NpScSn crystal. Source: the Open Quantum Materials Database, functional PBE-GGA.

```
data_NpScSn
_chemical_formula_sum 'Np4 Sc4 Sn4'
_space_group_name_H-M_alt 'F -4 3 m'
_space_group_IT_number 216
_space_group_name_Hall 'F -4 2 3'
_cell_length_a 6.946
_cell_length_b 6.946
_cell_length_c 6.946
_cell_angle_alpha 90.00
_cell_angle_beta 90.00
_cell_angle_gamma 90.00
loop_
_atom_site_label
_atom_site_type_symbol
_atom_site_fract_x
_atom_site_fract_y
_atom_site_fract_z
_atom_site_occupancy
Np1 Np 0.000 0.000 0.000 1
Sc1 Sc 0.250 0.250 0.250 1
Sn1 Sn 0.000 0.000 0.500 1
```

Calculated values
- electronic total energy (Ry per atom) = -0.54366
- M_tot (μB per formula unit) = 5.90
- crystal system = cubic
- calculated density (g cm⁻³) = 7.941



Record 4
A relaxed Ba2HgBiSb crystal. Source: the Open Quantum Materials Database, functional PBE-GGA.

```
data_Ba2HgBiSb
_chemical_formula_sum 'Ba8 Hg4 Bi4 Sb4'
_space_group_name_H-M_alt 'C m c 21'
_space_group_IT_number 36
_space_group_name_Hall 'C 2c -2'
_cell_length_a 5.007
_cell_length_b 18.798
_cell_length_c 8.455
_cell_angle_alpha 90.00
_cell_angle_beta 90.00
_cell_angle_gamma 90.00
loop_
_atom_site_label
_atom_site_type_symbol
_atom_site_fract_x
_atom_site_fract_y
_atom_site_fract_z
_atom_site_occupancy
Ba1 Ba 0.000 0.027 0.000 1
Ba2 Ba 0.000 0.202 0.670 1
Hg1 Hg 0.000 0.410 0.845 1
Bi1 Bi 0.000 0.171 0.257 1
Sb1 Sb 0.000 0.434 0.210 1
```

Calculated values
- electronic total energy (Ry per atom) = -0.23823
- crystal system = orthorhombic
- calculated density (g cm⁻³) = 6.727



Record 5
A relaxed Be2FeRe crystal. Source: the Open Quantum Materials Database, functional PBE-GGA.

```
data_Be2FeRe
_chemical_formula_sum 'Be8 Fe4 Re4'
_space_group_name_H-M_alt 'F -4 3 m'
_space_group_IT_number 216
_space_group_name_Hall 'F -4 2 3'
_cell_length_a 5.512
_cell_length_b 5.512
_cell_length_c 5.512
_cell_angle_alpha 90.00
_cell_angle_beta 90.00
_cell_angle_gamma 90.00
loop_
_atom_site_label
_atom_site_type_symbol
_atom_site_fract_x
_atom_site_fract_y
_atom_site_fract_z
_atom_site_occupancy
Be1 Be 0.000 0.000 0.000 1
Be2 Be 0.250 0.250 0.250 1
Fe1 Fe 0.250 0.250 0.750 1
Re1 Re 0.000 0.000 0.500 1
```

Calculated values
- electronic total energy (Ry per atom) = -0.52005
- M_tot (μB per formula unit) = 0.12
- crystal system = cubic
- calculated density (g cm⁻³) = 10.314



Record 6
A relaxed Lu2Sn3W4C3 crystal. Source: the Open Quantum Materials Database, functional PBE-GGA.

```
data_Lu2Sn3W4C3
_chemical_formula_sum 'Lu8 Sn12 W16 C12'
_space_group_name_H-M_alt 'C 1 2/c 1'
_space_group_IT_number 15
_space_group_name_Hall '-C 2yc'
_cell_length_a 9.894
_cell_length_b 5.753
_cell_length_c 14.132
_cell_angle_alpha 90.00
_cell_angle_beta 103.26
_cell_angle_gamma 90.00
loop_
_atom_site_label
_atom_site_type_symbol
_atom_site_fract_x
_atom_site_fract_y
_atom_site_fract_z
_atom_site_occupancy
Lu1 Lu 0.046 0.080 0.398 1
Sn1 Sn 0.000 0.475 0.250 1
Sn2 Sn 0.196 0.112 0.750 1
W1 W 0.106 0.408 0.573 1
W2 W 0.231 0.422 0.927 1
C1 C 0.086 0.256 0.000 1
C2 C 0.250 0.250 0.500 1
```

Calculated values
- electronic total energy (Ry per atom) = -0.62609
- M_tot (μB per formula unit) = 0.00
- crystal system = monoclinic
- calculated density (g cm⁻³) = 12.535